Compound: CsBa2PuCl8
Source: the Alexandria database
Functional: PBE-GGA
Structure: optimized geometry

Computed properties:
Total magnetic moment: 0.417 μB per atom
Theoretical density: 3.81 g/cm³
Final energy: -5.0320 eV per atom
Formation energy from raw total energies: -2215 meV per atom

abc: 5.470 7.363 10.188
angles: 89.99 89.99 96.92
Last column: magnetic moment on the atom in μB.
Sites, in units of the cell vectors:
1 Cs 0.000 0.000 0.500  0.00
2 Ba 0.500 0.500 0.751  0.00
3 Ba 0.500 0.500 0.249  0.00
4 Pu 0.000 0.000 0.000  5.05
5 Cl 0.029 0.752 0.204  -0.02
6 Cl 0.541 0.779 0.000  -0.02
7 Cl 0.971 0.248 0.204  -0.02
8 Cl 0.971 0.248 0.796  -0.02
9 Cl 0.459 0.221 0.000  -0.02
10 Cl 0.029 0.752 0.796  -0.02
11 Cl 0.460 0.728 0.500  0.00
12 Cl 0.540 0.272 0.500  0.00